Here is CoHBr2O after structural relaxation from the Alexandria database. Energies are from GGA+U.

Summary:
The value obtained for the energy above the most stable polymorph in this dataset is 530 meV per atom. Its total energy is -2.3523 eV per atom. Its space group is No. 123.

Cell: 4.787 3.435 4.787 Å, 90.00 90.00 90.00°
Last column: magnetic moment on the atom in μB.
Element x y z (fractional)
H (0.000, 0.000, 0.000)  -0.01
Br (0.500, 0.000, 0.000)  0.19
Br (0.000, 0.000, 0.500)  0.15
O (0.500, 0.500, 0.500)  0.14
Co (0.000, 0.500, 0.000)  2.37